Density functional theory data (SCAN) for a PBEsol-optimized structure of Mn2FeNi.

```
Mn2FeNi
1.0
-2.125 1.112 -0.355
-0.737 -0.706 2.199
2.619 5.888 2.769
Fe Mn Ni
1 2 1
direct
0.500 0.500 0.500
0.000 0.000 0.744
0.000 0.000 0.256
0.500 0.500 0.000
```

As for the space-group type: P4/mmm (123). For the density of states at the Fermi level, the calculation gives 3.72 states/eV per cell. Its spin magnetization is 3.09 μB per formula unit. Its final energy is -70.624 eV/cell. The energy above the lowest structure with this stoichiometry is 197 meV/atom.